[1]
# PBE ScNi3Au, relaxed
# **E**: -4.586 eV/atom
# **Polymorph energy (0 for the lowest one)**: 0 meV/atom
data_ScNi3Au
_chemical_formula_sum 'Sc1 Ni3 Au1'
_symmetry_space_group_name_H-M 'P m -3 m'
_symmetry_Int_Tables_number 221
_symmetry_space_group_name_Hall '-P 4 2 3'
_cell_length_a 4.629
_cell_length_b 4.629
_cell_length_c 4.629
_cell_angle_alpha 90.00
_cell_angle_beta 90.00
_cell_angle_gamma 90.00
loop_
_atom_site_label
_atom_site_fract_x
_atom_site_fract_y
_atom_site_fract_z
_atom_site_occupancy
Sc1 0.000 0.000 0.000 1
Ni1 0.000 0.500 0.500 1
Au1 0.500 0.500 0.500 1

***

[2]
# PBE ScNi2Au, relaxed
# **E**: -5.737 eV/atom
data_ScNi2Au
_chemical_formula_sum 'Sc2 Ni4 Au2'
_symmetry_space_group_name_H-M 'I -4 m 2'
_symmetry_Int_Tables_number 119
_symmetry_space_group_name_Hall 'I -4 -2'
_cell_length_a 3.814
_cell_length_b 3.814
_cell_length_c 8.076
_cell_angle_alpha 90.00
_cell_angle_beta 90.00
_cell_angle_gamma 90.00
loop_
_atom_site_label
_atom_site_fract_x
_atom_site_fract_y
_atom_site_fract_z
_atom_site_occupancy
Sc1 0.000 0.000 0.000 1
Ni1 0.000 0.000 0.500 1
Ni2 0.000 0.500 0.750 1
Au1 0.000 0.500 0.250 1

***

[3]
# PBE Sc2NiAu, relaxed
# **E**: -5.858 eV/atom
data_Sc2NiAu
_chemical_formula_sum 'Sc4 Ni2 Au2'
_symmetry_space_group_name_H-M 'C 1 2/m 1'
_symmetry_Int_Tables_number 12
_cell_length_a 6.485
_cell_length_b 3.727
_cell_length_c 6.926
_cell_angle_alpha 90.00
_cell_angle_beta 108.02
_cell_angle_gamma 90.00
loop_
_symmetry_equiv_pos_as_xyz
'x,y,z'
'-x,-y,-z'
'-x,y,-z'
'x,-y,z'
'x+1/2,y+1/2,z'
'-x+1/2,-y+1/2,-z'
'-x+1/2,y+1/2,-z'
'x+1/2,-y+1/2,z'
loop_
_atom_site_label
_atom_site_fract_x
_atom_site_fract_y
_atom_site_fract_z
_atom_site_occupancy
Sc1 0.240 0.000 0.220 1
Ni1 0.000 0.500 0.000 1
Au1 0.000 0.000 0.500 1

***

[4]
# PBE Sc5Ni2Au, relaxed
# **E**: -6.305 eV/atom
data_Sc5Ni2Au
_chemical_formula_sum 'Sc20 Ni8 Au4'
_symmetry_space_group_name_H-M 'I 4/m c m'
_symmetry_Int_Tables_number 140
_symmetry_space_group_name_Hall '-I 4 2c'
_cell_length_a 7.162
_cell_length_b 7.162
_cell_length_c 12.054
_cell_angle_alpha 90.00
_cell_angle_beta 90.00
_cell_angle_gamma 90.00
loop_
_atom_site_label
_atom_site_fract_x
_atom_site_fract_y
_atom_site_fract_z
_atom_site_occupancy
Sc1 0.000 0.000 0.000 1
Sc2 0.161 0.339 0.140 1
Ni1 0.129 0.371 0.500 1
Au1 0.000 0.000 0.250 1

***

[5]
# PBE Sc4Ni2Au, relaxed
# **E**: -6.190 eV/atom
data_Sc4Ni2Au
_chemical_formula_sum 'Sc12 Ni6 Au3'
_symmetry_space_group_name_H-M 'R -3 m'
_symmetry_Int_Tables_number 166
_symmetry_space_group_name_Hall '-R 3 2"'
_cell_length_a 4.5732
_cell_length_b 4.5732
_cell_length_c 21.8397
_cell_angle_alpha 90.00
_cell_angle_beta 90.00
_cell_angle_gamma 120.00
loop_
_atom_site_label
_atom_site_fract_x
_atom_site_fract_y
_atom_site_fract_z
_atom_site_occupancy
Sc1 0.0000 0.0000 0.1164 1
Sc2 0.0000 0.0000 0.3686 1
Ni1 0.0000 0.0000 0.2468 1
Au1 0.0000 0.0000 0.5000 1

***

[6]
# PBE TbScNiAu, relaxed
# **E**: -5.571 eV/atom
data_TbScNiAu
_chemical_formula_sum 'Tb4 Sc4 Ni4 Au4'
_symmetry_space_group_name_H-M 'F -4 3 m'
_symmetry_Int_Tables_number 216
_symmetry_space_group_name_Hall 'F -4 2 3'
_cell_length_a 6.838
_cell_length_b 6.838
_cell_length_c 6.838
_cell_angle_alpha 90.00
_cell_angle_beta 90.00
_cell_angle_gamma 90.00
loop_
_atom_site_label
_atom_site_fract_x
_atom_site_fract_y
_atom_site_fract_z
_atom_site_occupancy
Tb1 0.000 0.000 0.000 1
Sc1 0.000 0.000 0.500 1
Ni1 0.250 0.250 0.250 1
Au1 0.250 0.250 0.750 1

***

no.,density of states at the Fermi level (states/eV per cell),formation energy from the elements (kJ/mol of formula units)
1,5.1,388
2,6.5,-172
3,2.5,-165
4,36.6,-381
5,17.0,-305
6,12.3,-218